{
  "formula": "SrCaPd3",
  "functional": "PBE",
  "state": "relaxed",
  "lattice": [[-0.871, 4.282, -2.618], [2.372, -1.990, -4.045], [-4.423, -1.910, -1.654]],
  "species": ["Sr", "Ca", "Pd", "Pd", "Pd"],
  "fractional_positions": [[0.500, 0.500, 0.500], [0.000, 0.000, 0.000], [0.000, 0.500, 0.000], [0.000, 0.000, 0.500], [0.500, 0.000, 0.000]],
  "dos_ef_per_ev_atom": 0.475,
  "spacegroup": "Pm-3m, No. 221",
  "relative_energy_ev_per_atom": 0.000,
  "crystal_system": "cubic",
  "formation_enthalpy_0k_ev_per_fu": 0.07
}